First-principles (PBE) data for crystalline NiHPtW2 at its relaxed geometry, as listed in Alexandria via LeMat-Bulk.

Energy = -40.86 eV for the cell shown
Mass density = 16.9 g/cm³

Cell: 3.9002 3.9002 4.0118 Å, 90.00 90.00 90.00°
Closest atoms and distances in Å follow each position.
Space group P4/mmm (No. 123)
One atom of each set of equivalent atoms:
Ni (0.0000, 0.0000, 0.0000) [1 per cell]  2 H 2.01
H (0.0000, 0.0000, 0.5000) [1 per cell]  4 W 1.95, 2 Ni 2.01
Pt (0.5000, 0.5000, 0.0000) [1 per cell]  4 Ni 2.76, 8 W 2.80
W (0.0000, 0.5000, 0.5000) [2 per cell]  2 H 1.95

---

First-principles (PBE) data for crystalline HfVH at its relaxed geometry, as listed in Alexandria via LeMat-Bulk.

Energy = -42.54 eV for the cell shown
Mass density = 8.7 g/cm³

Cell: 3.0596 3.0596 9.3806 Å, 90.00 90.00 90.00°
Closest atoms and distances in Å follow each position.
Space group I4mm (No. 107)
One atom of each set of equivalent atoms:
Hf (0.0000, 0.0000, 0.0000) [2 per cell]  4 H 2.16
V (0.0000, 0.0000, 0.3054) [2 per cell]  1 H 1.84
H (0.0000, 0.0000, 0.5013) [2 per cell]  1 V 1.84

---

First-principles (PBE) data for crystalline NaNd4S5 at its relaxed geometry, as listed in Alexandria via LeMat-Bulk.

Energy = -120.93 eV for the cell shown
Mass density = 5.3 g/cm³

Cell: 4.0747 5.7301 20.4320 Å, 90.00 90.00 90.00°
Closest atoms and distances in Å follow each position.
Space group Immm (No. 71)
One atom of each set of equivalent atoms:
Na (0.0000, 0.0000, 0.0000) [2 per cell]  6 S 2.87-2.91
Nd (0.0000, 0.0000, 0.2027) [4 per cell]  6 S 2.87-2.90
Nd (0.0000, 0.0000, 0.4003) [4 per cell]  6 S 2.87-2.88
S (0.0000, 0.5000, 0.0000) [2 per cell]  2 Na 2.87, 4 Nd 2.88
S (0.0000, 0.5000, 0.1984) [4 per cell]  6 Nd 2.87
S (0.0000, 0.5000, 0.3983) [4 per cell]  4 Nd 2.87-2.90, 2 Na 2.91

---

First-principles (PBE) data for crystalline Tl2TcPb at its relaxed geometry, as listed in Alexandria via LeMat-Bulk.

Energy = -16.91 eV for the cell shown
Mass density = 11.9 g/cm³

Cell: 3.2901 3.2901 9.2231 Å, 90.00 90.00 90.00°
Closest atoms and distances in Å follow each position.
Space group P4mm (No. 99)
One atom of each set of equivalent atoms:
Tl (0.0000, 0.0000, 0.0000) [1 per cell]  4 Tc 2.93
Tl (0.5000, 0.5000, 0.2973) [1 per cell]  8 Tl 3.29-3.60
Tc (0.5000, 0.5000, 0.8061) [1 per cell]  4 Pb 2.92, 4 Tl 2.93
Pb (0.0000, 0.0000, 0.6139) [1 per cell]  4 Tc 2.92

---

First-principles (PBE) data for crystalline Hf3Ga4Tc2 at its relaxed geometry, as listed in Alexandria via LeMat-Bulk.

Energy = -132.75 eV for the cell shown
Mass density = 10.8 g/cm³

Cell: 10.1941 4.4444 8.1003 Å, 90.00 121.75 90.00°
Closest atoms and distances in Å follow each position.
Space group C2/m (No. 12)
One atom of each set of equivalent atoms:
Hf (0.0000, 0.0000, 0.0000) [2 per cell]  6 Ga 2.84-2.93, 2 Hf 3.05, 4 Tc 3.11
Hf (0.1617, 0.5000, 0.6747) [4 per cell]  4 Tc 2.77-3.06, 7 Ga 2.79-3.04, 2 Hf 3.01-3.05
Ga (0.0662, 0.0000, 0.3990) [4 per cell]  3 Tc 2.52-2.69, 1 Ga 2.61
Ga (0.1865, 0.5000, 0.0345) [4 per cell]  1 Tc 2.60, 2 Ga 2.77, 3 Hf 2.79-2.84
Tc (0.1343, 0.5000, 0.3164) [4 per cell]  4 Ga 2.52-2.69, 1 Hf 2.77

---

First-principles (PBE) data for crystalline Np2OsPt at its relaxed geometry, as listed in Alexandria via LeMat-Bulk.

Energy = -174.06 eV for the cell shown
Mass density = 17.7 g/cm³

Cell: 6.8580 6.8580 6.8580 Å, 90.00 90.00 90.00°
Closest atoms and distances in Å follow each position.
Space group Fm-3m (No. 225)
One atom of each set of equivalent atoms:
Np (0.2500, 0.2500, 0.2500) [8 per cell]  4 Os 2.97, 4 Pt 2.97
Os (0.0000, 0.0000, 0.0000) [4 per cell]  8 Np 2.97
Pt (0.0000, 0.0000, 0.5000) [4 per cell]  8 Np 2.97